LiCaTa2Sn: relaxed, PBE.

Calculated values
SG: P4/mmm (123)
Calculated volume: 26.8 Å³ per atom
Uncorrected energy: -25.9 eV/f.u.

Structure (POSCAR):
```
LiCaTa2Sn
1.0
5.245 0.000 0.000
0.000 4.875 0.000
0.000 0.000 5.245
Ta Li Sn Ca
2 1 1 1
Cartesian
2.623 0.000 0.000 Ta
0.000 0.000 2.623 Ta
0.000 2.438 0.000 Li
0.000 0.000 0.000 Sn
2.623 2.438 2.623 Ca
```

=====

LiCaTlSn: relaxed, PBE.

Calculated values
SG: F-43m (216)
Calculated volume: 25.7 Å³ per atom
Uncorrected energy: -11.9 eV/f.u.

Structure (POSCAR):
```
LiCaTlSn
1.0
-1.358 3.519 3.668
-5.054 1.315 0.640
-2.598 -1.555 4.303
Sn Ca Li Tl
1 1 1 1
Cartesian
-2.253 0.820 2.153 Sn
0.000 0.000 0.000 Ca
-4.505 1.640 4.306 Li
-6.758 2.459 6.458 Tl
```

=====

LiCaTmSn: relaxed, PBE.

Calculated values
SG: F-43m (216)
Calculated volume: 25.7 Å³ per atom
Uncorrected energy: -13.9 eV/f.u.

Structure (POSCAR):
```
LiCaTmSn
1.0
-4.308 -2.775 -1.188
-1.233 -4.272 2.809
-4.154 0.083 3.226
Sn Tm Li Ca
1 1 1 1
Cartesian
-2.424 -1.741 1.212 Sn
0.000 0.000 0.000 Tm
-7.271 -5.224 3.636 Li
-4.847 -3.482 2.424 Ca
```

=====

Li2Ca2YSn2: relaxed, PBE.

Calculated values
SG: R-3m (166)
Calculated volume: 26.4 Å³ per atom
Uncorrected energy: -25.9 eV/f.u.

Structure (POSCAR):
```
Li2Ca2YSn2
1.0
-3.903 -2.533 -1.318
-0.371 -4.670 1.200
-5.573 -0.067 7.759
Li Y Ca Sn
2 1 2 2
Cartesian
-3.615 -4.371 1.360 Li
-6.233 -2.899 6.281 Li
0.000 0.000 0.000 Y
-3.983 -0.962 4.770 Ca
-5.864 -6.308 2.871 Ca
-7.582 -5.341 6.101 Sn
-2.265 -1.928 1.540 Sn
```

=====

Li2CaY2Sn2: relaxed, PBE.

Calculated values
SG: R-3m (166)
Calculated volume: 26.3 Å³ per atom
Uncorrected energy: -30.1 eV/f.u.

Structure (POSCAR):
```
Li2CaY2Sn2
1.0
4.827 0.000 0.000
2.413 4.180 0.000
2.413 1.393 9.115
Y Ca Li Sn
2 1 2 2
Cartesian
7.240 4.180 3.541 Y
2.413 1.393 5.574 Y
0.000 0.000 0.000 Ca
4.827 2.787 7.104 Li
4.827 2.787 2.011 Li
2.413 1.393 2.091 Sn
7.240 4.180 7.024 Sn
```

=====

SrLi2Ca3: relaxed, PBE.

Calculated values
SG: P4/mmm (123)
Calculated volume: 37.0 Å³ per atom
Uncorrected energy: -11.4 eV/f.u.

Structure (POSCAR):
```
SrLi2Ca3
1.0
-2.267 -1.000 -3.160
-0.106 -3.805 1.280
-11.345 2.759 7.264
Li Ca Sr
2 3 1
Cartesian
-10.913 -0.037 5.287 Li
-2.805 -2.009 0.096 Li
-8.123 1.976 5.200 Ca
0.000 0.000 0.000 Ca
-3.223 0.784 2.063 Ca
-6.859 -1.023 2.692 Sr
```